No. 1
Computed, not measured: a relaxed TiBe2Nb crystal at the PBE level of DFT.

Computed properties:
Distance to the lowest polymorph of the same formula ... 0.13 eV/f.u.
DFT formation energy ... -59 meV/atom

Unit cell a=3.055 b=3.055 c=5.602 alpha=90.00 beta=90.00 gamma=90.00
Element x y z (fractional)
Ti: 0.000 0.000 0.000
Be: 0.500 0.500 0.234
Be: 0.500 0.500 0.766
Nb: 0.000 0.000 0.500



No. 2
Computed, not measured: a relaxed TiBe6Nb2 crystal at the PBE level of DFT.

Computed properties:
DFT formation energy ... -188 meV/atom

Unit cell a=6.368 b=6.368 c=2.978 alpha=90.00 beta=90.00 gamma=120.00
Element x y z (fractional)
Ti: 0.000 0.000 0.000
Be: 0.000 0.333 0.500
Be: 0.000 0.667 0.500
Be: 0.333 0.000 0.500
Be: 0.333 0.333 0.500
Be: 0.667 0.000 0.500
Be: 0.667 0.667 0.500
Nb: 0.333 0.667 0.000
Nb: 0.667 0.333 0.000



no.,density of states at the Fermi level (states/eV/cell)
1,2.84
2,3.61